Here is HgBi2 after structural relaxation from the Open Quantum Materials Database. Energies are from PBE.

Polymorph energy (0 for the lowest one) ... 79 meV/atom

a b c (Å): 7.514 7.514 6.249
angles (deg): 90.00 90.00 90.00
Space group I4/mcm (No. 140)
Symmetry-distinct sites (fractional):
Hg  0.000  0.000  0.250
Bi  0.148  0.352  0.000